(1)
Computed, not measured: a geometry-optimized Dy3Fe structure at the GGA-PBE level of DFT.

Cell lengths 3.3418, 3.5852, 9.0135 Å; angles 90.00, 90.00, 90.00 degrees
Last column: nearest neighbours and their distance in Å.
Space group Pmm2 (No. 25)
Unique sites:
Dy1 0.0000 0.0000 0.0000 x1  10 Dy 3.34-3.59
Dy2 0.0000 0.5000 0.3416 x1  4 Fe 2.80
Dy3 0.5000 0.5000 0.7120 x1  2 Fe 2.67
Fe1 0.5000 0.0000 0.4925 x1  6 Dy 2.67-2.80

- density of states at the Fermi level (states/eV per atom) = 1.537
- calculated formation energy (eV/f.u.) = 1.26
- calculated total energy (eV per atom) = -5.25
- size of the total moment (μB per cell) = 1.2
- theoretical density (g/cm³) = 8.355


(2)
Computed, not measured: a geometry-optimized BaSb2F structure at the GGA-PBE level of DFT.

Cell lengths 7.7609, 7.7609, 7.7609 Å; angles 90.00, 90.00, 90.00 degrees
Last column: nearest neighbours and their distance in Å.
Space group Fm-3m (No. 225)
Unique sites:
Ba1 0.0000 0.0000 0.0000 x4  8 Sb 3.36
Sb1 0.2500 0.2500 0.2500 x8  4 F 3.36, 4 Ba 3.36
F1 0.0000 0.0000 0.5000 x4  8 Sb 3.36

- density of states at the Fermi level (states/eV per atom) = 1.070
- uncorrected formation energy (eV/atom) = -0.5000
- calculated total energy (eV per atom) = -3.51
- size of the total moment (μB per cell) = 0.0
- theoretical density (g/cm³) = 5.681
- polymorph energy (0 for the lowest one) (meV/atom) = 365


(3)
Computed, not measured: a geometry-optimized Ti6CoNi2 structure at the GGA-PBE level of DFT.

Cell lengths 4.0458, 11.7564, 5.7837 Å; angles 90.00, 90.00, 90.00 degrees
Last column: nearest neighbours and their distance in Å.
Space group Amm2 (No. 38)
Unique sites:
Ti1 0.0000 0.0000 0.0000 x2  2 Ni 2.38, 2 Co 2.45
Ti2 0.0000 0.1261 0.5774 x4  2 Ni 2.31-2.38
Ti3 0.5000 0.0000 0.3269 x2  1 Co 2.51, 2 Ti 2.77
Ti4 0.5000 0.1938 0.9336 x4  1 Co 2.49, 2 Ni 2.52
Co1 0.5000 0.0000 0.7608 x2  9 Ti 2.45-2.72
Ni1 0.0000 0.1791 0.1924 x4  5 Ti 2.31-2.52

- density of states at the Fermi level (states/eV per atom) = 0.897
- calculated formation energy (eV/f.u.) = -1.93
- calculated total energy (eV per atom) = -7.55
- size of the total moment (μB per cell) = 0.0
- theoretical density (g/cm³) = 5.596
- polymorph energy (0 for the lowest one) (meV/atom) = 7


(4)
Computed, not measured: a geometry-optimized Ti2Re2Sb structure at the GGA-PBE level of DFT.

Cell lengths 3.5600, 3.5600, 14.9393 Å; angles 90.00, 90.00, 90.00 degrees
Last column: nearest neighbours and their distance in Å.
Space group I4/mmm (No. 139)
Unique sites:
Ti1 0.0000 0.0000 0.1059 x4  4 Re 2.79, 4 Sb 2.97
Re1 0.0000 0.5000 0.2500 x4  4 Re 2.52, 4 Ti 2.79
Sb1 0.0000 0.0000 0.5000 x2  8 Ti 2.97

- density of states at the Fermi level (states/eV per atom) = 1.190
- uncorrected formation energy (eV/atom) = 0.1729
- calculated total energy (eV per atom) = -8.79
- size of the total moment (μB per cell) = 0.1
- theoretical density (g/cm³) = 10.348
- polymorph energy (0 for the lowest one) (meV/atom) = 0


(5)
Computed, not measured: a geometry-optimized Be2PRuF structure at the GGA-PBE level of DFT.

Cell lengths 3.4137, 3.4137, 5.2245 Å; angles 90.00, 90.00, 90.00 degrees
Last column: nearest neighbours and their distance in Å.
Space group P4/mmm (No. 123)
Unique sites:
Be1 0.0000 0.5000 0.0000 x2  2 F 1.71
P1 0.0000 0.0000 0.5000 x1  4 Ru 2.41
Ru1 0.5000 0.5000 0.5000 x1  4 P 2.41, 2 F 2.61
F1 0.5000 0.5000 0.0000 x1  4 Be 1.71

- density of states at the Fermi level (states/eV per atom) = 0.477
- uncorrected formation energy (eV/atom) = 0.1445
- calculated total energy (eV per atom) = -4.66
- size of the total moment (μB per cell) = 0.3
- theoretical density (g/cm³) = 4.611


(6)
Computed, not measured: a geometry-optimized ReGeBr2 structure at the GGA-PBE level of DFT.

Cell lengths 9.1575, 9.1575, 4.8750 Å; angles 90.00, 90.00, 90.00 degrees
Last column: nearest neighbours and their distance in Å.
Space group I-42d (No. 122)
Unique sites:
Re1 0.0000 0.0000 0.0000 x4  2 Ge 2.44, 4 Br 2.58
Ge1 0.0000 0.0000 0.5000 x4  2 Re 2.44
Br1 0.1113 0.7500 0.1250 x8  2 Re 2.58

- density of states at the Fermi level (states/eV per atom) = 1.666
- uncorrected formation energy (eV/atom) = 0.4478
- calculated total energy (eV per atom) = -4.65
- size of the total moment (μB per cell) = 0.0
- theoretical density (g/cm³) = 6.802
- polymorph energy (0 for the lowest one) (meV/atom) = 0